TlSeClO2 | PBE-GGA | optimized geometry

Properties
- magnetization (Bohr magnetons per cell) = 0.00
- formation energy without anion corrections (eV per atom) = -0.26
- mass density (Mg/m³) = 5.76

abc: 3.948 6.490 3.948
angles: 90.00 90.00 90.00
Fractional coordinates of all 5 atoms:
Tl  0.000  0.500  0.000
O  0.000  0.000  0.500
O  0.500  0.000  0.000
Se  0.000  0.000  0.000
Cl  0.500  0.500  0.500

***

TmSeClO4 | PBE-GGA | optimized geometry

Properties
- magnetization (Bohr magnetons per cell) = 0.00
- formation energy without anion corrections (eV per atom) = -1.70
- mass density (Mg/m³) = 5.16

abc: 6.079 6.079 6.613
angles: 78.09 78.09 70.94
Fractional coordinates of all 14 atoms:
Tm  0.222  0.222  0.877
Tm  0.778  0.778  0.123
Se  0.637  0.637  0.728
Se  0.363  0.363  0.272
Cl  0.018  0.018  0.232
Cl  0.982  0.982  0.768
O  0.274  0.274  0.518
O  0.726  0.726  0.482
O  0.130  0.489  0.138
O  0.532  0.532  0.243
O  0.511  0.870  0.862
O  0.489  0.130  0.138
O  0.468  0.468  0.757
O  0.870  0.511  0.862

***

> Which of these has the lowest formation energy without anion corrections?

TmSeClO4